(1)
Compound: TlHgAs2
Source: the Alexandria database
Functional: GGA-PBEsol
Structure: relaxed

The structure in POSCAR format:
```
TlHgAs2
1.0
3.5624 0.0000 0.0000
1.7812 3.0851 0.0000
1.7812 1.0284 8.9133
Hg As Tl
1 2 1
direct
0.4927 0.4927 0.5218
0.0176 0.0176 0.9471
0.7377 0.7377 0.7870
0.2519 0.2519 0.2442
```

## Properties
- excess energy over the best structure of this formula in the dataset (eV/atom) = 0.0000



(2)
Compound: TlHgAs2
Source: the Alexandria database
Functional: GGA-PBEsol
Structure: relaxed

The structure in POSCAR format:
```
TlHgAs2
1.0
-0.2224 -3.0202 -1.8192
4.3472 1.4079 -2.8689
1.3242 -1.5873 5.9037
As Tl Hg
2 1 1
direct
0.7399 0.8363 0.4797
0.2601 0.1637 0.5203
0.5000 0.0000 0.0000
0.0000 0.5000 0.0000
```

## Properties
- excess energy over the best structure of this formula in the dataset (eV/atom) = 0.0931



(3)
Compound: TlHgAs2
Source: the Alexandria database
Functional: GGA-PBEsol
Structure: relaxed

The structure in POSCAR format:
```
TlHgAs2
1.0
2.9890 0.0000 0.0000
0.0000 3.5916 0.0000
-1.4945 0.0000 8.8676
Hg As Tl
1 2 1
direct
0.4468 0.0000 0.8937
0.1725 0.0000 0.3450
0.0749 0.5000 0.1497
0.8094 0.5000 0.6189
```

## Properties
- excess energy over the best structure of this formula in the dataset (eV/atom) = 0.0534



(4)
Compound: Tl3HgAs
Source: the Alexandria database
Functional: GGA-PBEsol
Structure: relaxed

The structure in POSCAR format:
```
Tl3HgAs
1.0
-4.1150 -3.6286 0.1808
3.3907 -3.9338 -1.7778
1.3047 -1.2211 5.1903
Hg Tl As
1 3 1
direct
0.0000 0.0000 0.0000
0.0000 0.5000 0.0000
0.0000 0.0000 0.5000
0.5000 0.0000 0.0000
0.5000 0.5000 0.5000
```

## Properties
- excess energy over the best structure of this formula in the dataset (eV/atom) = 0.2172



(5)
Compound: Hg3AsW
Source: the Alexandria database
Functional: GGA-PBEsol
Structure: relaxed

The structure in POSCAR format:
```
Hg3AsW
1.0
5.1274 0.0000 0.0000
0.0000 5.1274 0.0000
0.0000 0.0000 5.1274
W As Hg
1 1 3
direct
0.5000 0.5000 0.5000
0.0000 0.0000 0.0000
0.5000 0.0000 0.0000
0.0000 0.5000 0.0000
0.0000 0.0000 0.5000
```



(6)
Compound: HgAs2W
Source: the Alexandria database
Functional: GGA-PBEsol
Structure: relaxed

The structure in POSCAR format:
```
HgAs2W
1.0
-0.9009 -2.8670 3.0383
0.4243 -1.7361 -4.5178
3.6297 -2.0758 -0.8825
As W Hg
2 1 1
direct
0.7500 0.5000 0.7500
0.2500 0.5000 0.2500
0.0000 0.0000 0.0000
0.5000 0.0000 0.5000
```



The calculation returns the following DOS at the Fermi energy values, one per record and in order: 1.3 1.0 1.0 3.8 2.4 4.1 states/eV per cell.
The calculation returns the following magnetization values, one per record and in order: 0.0 0.0 0.0 0.0 4.6 0.0 Bohr magnetons per cell.
The calculation returns the following formation energy from the elements values, one per record and in order: 28 122 82 564 1568 657 meV/atom.